{"formula": "BeCrRh2F", "functional": "PBE+U", "state": "optimized geometry", "lattice": [[4.5174, 0.0000, 0.0000], [0.0000, 4.5174, 0.0000], [0.0000, 0.0000, 4.4242]], "species": ["Be", "Cr", "Rh", "Rh", "F"], "frac_coords": [[0.0000, 0.0000, 0.0000], [0.0000, 0.0000, 0.5000], [0.0000, 0.5000, 0.5000], [0.5000, 0.0000, 0.5000], [0.5000, 0.5000, 0.0000]], "space_group": "P4/mmm, No. 123", "m_tot_mub_per_atom": 0.471, "dos_ef_per_ev_atom": 0.89, "dft_energy_ev_per_cell": -21.60}